VBiIO4: relaxed, GGA+U.

abc: 6.876 6.876 6.897
angles: 100.85 100.85 58.05
Fractional coordinates of all 14 atoms:
V: 0.131 0.131 0.261
V: 0.869 0.869 0.739
Bi: 0.206 0.206 0.833
Bi: 0.794 0.794 0.167
I: 0.466 0.466 0.302
I: 0.534 0.534 0.698
O: 0.014 0.014 0.757
O: 0.032 0.622 0.872
O: 0.202 0.202 0.507
O: 0.378 0.968 0.128
O: 0.622 0.032 0.872
O: 0.798 0.798 0.493
O: 0.968 0.378 0.128
O: 0.986 0.986 0.243

* calculated volume: 19.302 Å³/atom
* energy: -5.9972 eV per atom